# GGA-PBE EuErCd2, relaxed
# Calculated formation energy = -299.6 meV per atom
# Theoretical density = 8.152 g/cm3
# Energy = -0.1641 Ha/atom
# Energy above the most stable polymorph in this dataset = 0.026 eV/atom
# Size of the total moment = 27.99 Bohr magnetons per cell
data_EuErCd2
_cell_length_a 7.625
_cell_length_b 7.625
_cell_length_c 7.625
_cell_angle_alpha 90.00
_cell_angle_beta 90.00
_cell_angle_gamma 90.00
_space_group_name_H-M_alt 'F m -3 m'
_space_group_IT_number 225
_space_group_name_Hall '-F 4 2 3'
loop_
_atom_site_label
_atom_site_type_symbol
_atom_site_fract_x
_atom_site_fract_y
_atom_site_fract_z
_atom_site_occupancy
Eu1 Eu 0.000 0.000 0.000 1
Er1 Er 0.000 0.000 0.500 1
Cd1 Cd 0.250 0.250 0.250 1